Arrangement A

PaAsN | GGA-PBE | relaxed

Values from the calculation:
Mass density = 8.47 Mg/m³
Crystal system = orthorhombic

a b c (Å): 6.042 10.277 4.043
angles (deg): 90.00 90.00 90.00
Space group Cmcm (No. 63)
One atom of each set of equivalent atoms:
Pa 0.000 0.141 0.250
As 0.000 0.383 0.750
N 0.000 0.076 0.750

Arrangement B

PaAsN | GGA-PBE | relaxed

Values from the calculation:
Mass density = 9.44 Mg/m³
Crystal system = tetragonal

a b c (Å): 3.157 3.157 11.303
angles (deg): 90.00 90.00 90.00
Space group I4mm (No. 107)
One atom of each set of equivalent atoms:
Pa 0.000 0.000 0.000
As 0.000 0.000 0.278
N 0.000 0.000 0.553

Arrangement C

PaAsN | GGA-PBE | relaxed

Values from the calculation:
Mass density = 9.94 Mg/m³
Crystal system = monoclinic

a b c (Å): 5.452 5.592 7.092
angles (deg): 90.00 98.46 90.00
Space group C2/m (No. 12)
One atom of each set of equivalent atoms:
Pa 0.224 0.000 0.327
As 0.176 0.500 0.124
N 0.000 0.248 0.500

Arrangement D

PaAsN | GGA-PBE | relaxed

Values from the calculation:
Mass density = 9.62 Mg/m³
Crystal system = hexagonal

a b c (Å): 3.8605 3.8605 4.2804
angles (deg): 90.00 90.00 120.00
Space group P-6m2 (No. 187)
One atom of each set of equivalent atoms:
Pa 0.0000 0.0000 0.0000
As 0.6667 0.3333 0.5000
N 0.3333 0.6667 0.0000

Which of them is least stable? Easy: arrangement B.

Arrangement A

As2PbN | GGA-PBE | relaxed

Values from the calculation:
Mass density = 6.93 Mg/m³
Crystal system = tetragonal

a b c (Å): 5.350 5.350 12.432
angles (deg): 90.00 90.00 90.00
Space group I-42d (No. 122)
One atom of each set of equivalent atoms:
As 0.112 0.250 0.125
Pb 0.000 0.000 0.500
N 0.000 0.000 0.000

Arrangement B

As2PbN | GGA-PBE | relaxed

Values from the calculation:
Mass density = 7.99 Mg/m³
Crystal system = cubic

a b c (Å): 6.756 6.756 6.756
angles (deg): 90.00 90.00 90.00
Space group Fm-3m (No. 225)
One atom of each set of equivalent atoms:
As 0.250 0.250 0.250
Pb 0.000 0.000 0.000
N 0.000 0.000 0.500

Which of them is least stable? Easy: arrangement B.

Arrangement A

AsPbN2 | GGA-PBE | relaxed

Values from the calculation:
Mass density = 8.80 Mg/m³
Crystal system = trigonal

a b c (Å): 3.0845 3.0845 21.3171
angles (deg): 90.00 90.00 120.00
Space group R-3m (No. 166, hexagonal axes)
One atom of each set of equivalent atoms:
As 0.0000 0.0000 0.0000
Pb 0.0000 0.0000 0.5000
N 0.0000 0.0000 0.3805

Arrangement B

AsPbN2 | GGA-PBE | relaxed

Values from the calculation:
Mass density = 7.60 Mg/m³
Crystal system = trigonal

a b c (Å): 3.5150 3.5150 19.0028
angles (deg): 90.00 90.00 120.00
Space group R-3m (No. 166, hexagonal axes)
One atom of each set of equivalent atoms:
As 0.0000 0.0000 0.0000
Pb 0.0000 0.0000 0.5000
N 0.0000 0.0000 0.1002

Arrangement C

AsPbN2 | GGA-PBE | relaxed

Values from the calculation:
Mass density = 9.31 Mg/m³
Crystal system = cubic

a b c (Å): 6.049 6.049 6.049
angles (deg): 90.00 90.00 90.00
Space group Fm-3m (No. 225)
One atom of each set of equivalent atoms:
As 0.000 0.000 0.000
Pb 0.000 0.000 0.500
N 0.250 0.250 0.250

Which of them is least stable? Easy: arrangement C.

Arrangement A

As2PbSeN | GGA-PBE | relaxed

Values from the calculation:
Mass density = 7.75 Mg/m³
Crystal system = tetragonal

a b c (Å): 4.496 4.496 4.770
angles (deg): 90.00 90.00 90.00
Space group P4/mmm (No. 123)
One atom of each set of equivalent atoms:
As 0.000 0.500 0.000
Pb 0.000 0.000 0.500
Se 0.500 0.500 0.500
N 0.500 0.500 0.000

Arrangement B

As2PbSeN | GGA-PBE | relaxed

Values from the calculation:
Mass density = 4.30 Mg/m³
Crystal system = tetragonal

a b c (Å): 5.577 5.577 5.586
angles (deg): 90.00 90.00 90.00
Space group P4/mmm (No. 123)
One atom of each set of equivalent atoms:
As 0.000 0.500 0.000
Pb 0.000 0.000 0.000
Se 0.000 0.000 0.500
N 0.500 0.500 0.500

Which of them is least stable? Easy: arrangement B.

Arrangement A

AsPbSeN2 | GGA-PBE | relaxed

Values from the calculation:
Mass density = 7.52 Mg/m³
Crystal system = tetragonal

a b c (Å): 4.019 4.019 5.321
angles (deg): 90.00 90.00 90.00
Space group P4/mmm (No. 123)
One atom of each set of equivalent atoms:
As 0.000 0.000 0.000
Pb 0.500 0.500 0.500
Se 0.000 0.000 0.500
N 0.000 0.500 0.000

Arrangement B

AsPbSeN2 | GGA-PBE | relaxed

Values from the calculation:
Mass density = 5.83 Mg/m³
Crystal system = tetragonal

a b c (Å): 4.364 4.364 5.814
angles (deg): 90.00 90.00 90.00
Space group P4/mmm (No. 123)
One atom of each set of equivalent atoms:
As 0.000 0.000 0.000
Pb 0.500 0.500 0.500
Se 0.500 0.500 0.000
N 0.000 0.500 0.500

Which of them is least stable? Easy: arrangement B.

Arrangement A

TeAsPbN2 | GGA-PBE | relaxed

Values from the calculation:
Mass density = 6.96 Mg/m³
Crystal system = tetragonal

a b c (Å): 4.277 4.277 5.706
angles (deg): 90.00 90.00 90.00
Space group P4/mmm (No. 123)
One atom of each set of equivalent atoms:
Te 0.000 0.000 0.000
As 0.000 0.000 0.500
Pb 0.500 0.500 0.000
N 0.000 0.500 0.500

Arrangement B

TeAsPbN2 | GGA-PBE | relaxed

Values from the calculation:
Mass density = 5.51 Mg/m³
Crystal system = tetragonal

a b c (Å): 4.420 4.420 6.755
angles (deg): 90.00 90.00 90.00
Space group P4/mmm (No. 123)
One atom of each set of equivalent atoms:
Te 0.000 0.000 0.000
As 0.500 0.500 0.000
Pb 0.000 0.000 0.500
N 0.000 0.500 0.500

Which of them is least stable? Easy: arrangement B.